[1]
Below is an optimized crystal structure of BePtS, with properties calculated at the GGA-PBE level.

Computed properties:
N(E_F) = 1.20 states/eV per cell
Uncorrected formation energy = -0.376 eV/atom

Unit cell a=6.285 b=3.098 c=4.418 alpha=90.00 beta=90.00 gamma=90.00
Space group Pmma (No. 51)
One atom of each set of equivalent atoms:
1 Be 0.250 0.000 0.205 [2 per cell]
2 Pt 0.000 0.500 0.500 [2 per cell]
3 S 0.250 0.500 0.891 [2 per cell]

[2]
Below is an optimized crystal structure of BePtS, with properties calculated at the GGA-PBE level.

Computed properties:
N(E_F) = 0.58 states/eV per cell
Uncorrected formation energy = -0.412 eV/atom

Unit cell a=3.616 b=4.977 c=5.324 alpha=109.33 beta=90.31 gamma=90.19
Space group P1 (No. 1)
One atom of each set of equivalent atoms:
1 Be 0.000 0.000 0.000 [1 per cell]
2 Be 0.278 0.278 0.570 [1 per cell]
3 Pt 0.760 0.424 0.890 [1 per cell]
4 Pt 0.777 0.928 0.388 [1 per cell]
5 S 0.049 0.690 0.650 [1 per cell]
6 S 0.477 0.205 0.164 [1 per cell]

[3]
Below is an optimized crystal structure of BePtS, with properties calculated at the GGA-PBE level.

Computed properties:
N(E_F) = 3.09 states/eV per cell
Uncorrected formation energy = -0.426 eV/atom

Unit cell a=16.342 b=3.435 c=3.434 alpha=90.00 beta=102.08 gamma=90.00
Space group Cm (No. 8)
One atom of each set of equivalent atoms:
1 Be 0.000 0.000 0.000 [2 per cell]
2 Be 0.184 0.500 0.682 [2 per cell]
3 Pt 0.040 0.500 0.539 [2 per cell]
4 Pt 0.144 0.000 0.144 [2 per cell]
5 S 0.256 0.000 0.755 [2 per cell]
6 S 0.429 0.500 0.429 [2 per cell]

[4]
Below is an optimized crystal structure of Be2PtS, with properties calculated at the GGA-PBE level.

Computed properties:
N(E_F) = 0.00 states/eV per cell
Uncorrected formation energy = -0.411 eV/atom

Unit cell a=5.051 b=5.051 c=9.738 alpha=90.00 beta=90.00 gamma=90.00
Space group I-42d (No. 122)
One atom of each set of equivalent atoms:
1 Be 0.228 0.250 0.125 [8 per cell]
2 Pt 0.000 0.000 0.500 [4 per cell]
3 S 0.000 0.000 0.000 [4 per cell]

[5]
Below is an optimized crystal structure of BePtS, with properties calculated at the GGA-PBE level.

Computed properties:
N(E_F) = 0.05 states/eV per cell
Uncorrected formation energy = -0.460 eV/atom

Unit cell a=6.415 b=3.632 c=7.596 alpha=90.00 beta=98.71 gamma=90.00
Space group C2 (No. 5)
One atom of each set of equivalent atoms:
1 Be 0.000 0.000 0.000 [2 per cell]
2 Be 0.000 0.247 0.500 [2 per cell]
3 Pt 0.216 0.501 0.127 [4 per cell]
4 S 0.223 0.004 0.341 [4 per cell]

[6]
Below is an optimized crystal structure of BePtS, with properties calculated at the GGA-PBE level.

Computed properties:
N(E_F) = 0.69 states/eV per cell
Uncorrected formation energy = -0.533 eV/atom

Unit cell a=3.391 b=3.800 c=8.091 alpha=90.00 beta=101.88 gamma=90.00
Space group Pm (No. 6)
One atom of each set of equivalent atoms:
1 Be 0.000 0.000 0.000 [1 per cell]
2 Be 0.140 0.500 0.281 [1 per cell]
3 Pt 0.425 0.500 0.024 [1 per cell]
4 Pt 0.540 0.000 0.256 [1 per cell]
5 S 0.447 0.000 0.836 [1 per cell]
6 S 0.747 0.500 0.444 [1 per cell]

[7]
Below is an optimized crystal structure of BePtS3, with properties calculated at the GGA-PBE level.

Computed properties:
Energy above the lowest structure with this stoichiometry = 0.334 eV per atom
N(E_F) = 7.50 states/eV per cell
Uncorrected formation energy = 0.956 eV/atom

Unit cell a=4.693 b=4.693 c=4.693 alpha=90.00 beta=90.00 gamma=90.00
Space group Pm-3m (No. 221)
One atom of each set of equivalent atoms:
1 Be 0.000 0.000 0.000 [1 per cell]
2 Pt 0.500 0.500 0.500 [1 per cell]
3 S 0.000 0.500 0.500 [3 per cell]

[8]
Below is an optimized crystal structure of BePtS, with properties calculated at the GGA-PBE level.

Computed properties:
N(E_F) = 1.61 states/eV per cell
Uncorrected formation energy = -0.305 eV/atom

Unit cell a=6.497 b=3.812 c=8.012 alpha=90.00 beta=90.00 gamma=90.00
Space group Pnma (No. 62)
One atom of each set of equivalent atoms:
1 Be 0.089 0.250 0.016 [4 per cell]
2 Pt 0.248 0.750 0.926 [4 per cell]
3 S 0.142 0.750 0.653 [4 per cell]

[9]
Below is an optimized crystal structure of BePtS, with properties calculated at the GGA-PBE level.

Computed properties:
N(E_F) = 0.82 states/eV per cell
Uncorrected formation energy = -0.370 eV/atom

Unit cell a=3.509 b=4.411 c=6.024 alpha=100.32 beta=92.80 gamma=92.57
Space group P1 (No. 1)
One atom of each set of equivalent atoms:
1 Be 0.000 0.000 0.000 [1 per cell]
2 Be 0.464 0.170 0.564 [1 per cell]
3 Pt 0.480 0.734 0.772 [1 per cell]
4 Pt 0.935 0.440 0.419 [1 per cell]
5 S 0.035 0.925 0.340 [1 per cell]
6 S 0.499 0.261 0.939 [1 per cell]

[10]
Below is an optimized crystal structure of Sc2BePtS, with properties calculated at the GGA-PBE level.

Computed properties:
N(E_F) = 5.73 states/eV per cell
Uncorrected formation energy = 0.318 eV/atom

Unit cell a=5.126 b=5.126 c=4.539 alpha=90.00 beta=90.00 gamma=90.00
Space group P4/mmm (No. 123)
One atom of each set of equivalent atoms:
1 Sc 0.000 0.500 0.000 [2 per cell]
2 Be 0.000 0.000 0.500 [1 per cell]
3 Pt 0.500 0.500 0.000 [1 per cell]
4 S 0.500 0.500 0.500 [1 per cell]

[11]
Below is an optimized crystal structure of Ta2BePtS, with properties calculated at the GGA-PBE level.

Computed properties:
N(E_F) = 3.88 states/eV per cell
Uncorrected formation energy = 0.825 eV/atom

Unit cell a=4.964 b=4.964 c=4.032 alpha=90.00 beta=90.00 gamma=90.00
Space group P4/mmm (No. 123)
One atom of each set of equivalent atoms:
1 Ta 0.000 0.500 0.000 [2 per cell]
2 Be 0.000 0.000 0.500 [1 per cell]
3 Pt 0.000 0.000 0.000 [1 per cell]
4 S 0.500 0.500 0.500 [1 per cell]

[12]
Below is an optimized crystal structure of BeTePtS2, with properties calculated at the GGA-PBE level.

Computed properties:
N(E_F) = 5.94 states/eV per cell
Uncorrected formation energy = 0.350 eV/atom

Unit cell a=3.932 b=3.932 c=8.537 alpha=90.00 beta=90.00 gamma=90.00
Space group P4/mmm (No. 123)
One atom of each set of equivalent atoms:
1 Be 0.000 0.000 0.000 [1 per cell]
2 Te 0.000 0.000 0.500 [1 per cell]
3 Pt 0.500 0.500 0.500 [1 per cell]
4 S 0.000 0.500 0.000 [2 per cell]

[13]
Below is an optimized crystal structure of Be2TlPtS, with properties calculated at the GGA-PBE level.

Computed properties:
N(E_F) = 2.56 states/eV per cell
Uncorrected formation energy = 0.340 eV/atom

Unit cell a=4.352 b=4.352 c=5.352 alpha=90.00 beta=90.00 gamma=90.00
Space group P4/mmm (No. 123)
One atom of each set of equivalent atoms:
1 Be 0.000 0.500 0.000 [2 per cell]
2 Tl 0.000 0.000 0.500 [1 per cell]
3 Pt 0.000 0.000 0.000 [1 per cell]
4 S 0.500 0.500 0.500 [1 per cell]

[14]
Below is an optimized crystal structure of Be2VPtS, with properties calculated at the GGA-PBE level.

Computed properties:
N(E_F) = 5.71 states/eV per cell
Uncorrected formation energy = 0.491 eV/atom

Unit cell a=4.191 b=4.191 c=4.829 alpha=90.00 beta=90.00 gamma=90.00
Space group P4/mmm (No. 123)
One atom of each set of equivalent atoms:
1 Be 0.000 0.500 0.000 [2 per cell]
2 V 0.000 0.000 0.500 [1 per cell]
3 Pt 0.000 0.000 0.000 [1 per cell]
4 S 0.500 0.500 0.500 [1 per cell]